RbCa2Sc: optimized geometry, PBE.

abc: 8.739 8.739 8.739
angles: 90.00 90.00 90.00
Atoms (fractional coordinates):
Rb (0.000, 0.000, 0.000)
Rb (0.000, 0.500, 0.500)
Rb (0.500, 0.000, 0.500)
Rb (0.500, 0.500, 0.000)
Ca (0.250, 0.250, 0.250)
Ca (0.250, 0.250, 0.750)
Ca (0.250, 0.750, 0.250)
Ca (0.250, 0.750, 0.750)
Ca (0.750, 0.250, 0.250)
Ca (0.750, 0.250, 0.750)
Ca (0.750, 0.750, 0.250)
Ca (0.750, 0.750, 0.750)
Sc (0.000, 0.000, 0.500)
Sc (0.000, 0.500, 0.000)
Sc (0.500, 0.000, 0.000)
Sc (0.500, 0.500, 0.500)

Values from the calculation:
D(E_F) ... 27.2 states/eV/cell
Energy above the lowest structure with this stoichiometry ... 0 meV/atom